ZnAgOsF2: relaxed, PBE-GGA.

The mass density comes out at 7.616 g cm⁻³. Its calculated volume is 87.5 Å³ per cell. As for the uncorrected formation energy: -160 meV/atom.

It has space group P4/mmm (No. 123), with a = 3.960 Å, b = 3.960 Å, c = 5.582 Å, α = 90.00°, β = 90.00° and γ = 90.00°. Symmetry generates all atoms from Zn at (0.000, 0.000, 0.000), Ag at (0.500, 0.500, 0.000), Os at (0.500, 0.500, 0.500) and F at (0.000, 0.500, 0.500).

---

PmTl2Rh: relaxed, PBE-GGA.

The mass density comes out at 12.055 g cm⁻³. Its calculated volume is 361.8 Å³ per cell. The energy above the most stable polymorph in this dataset is 55 kJ/mol of formula units.

It has space group Fm-3m (No. 225), with a = 7.126 Å, b = 7.126 Å, c = 7.126 Å, α = 90.00°, β = 90.00° and γ = 90.00°. Symmetry generates all atoms from Pm at (0.000, 0.000, 0.000), Tl at (0.250, 0.250, 0.250) and Rh at (0.000, 0.000, 0.500).

---

Ac3PmNd2Te6: relaxed, PBE-GGA.

The mass density comes out at 7.514 g cm⁻³. Its calculated volume is 831.0 Å³ per cell. As for the uncorrected formation energy: -1452 meV/atom.

It has space group C2/m (No. 12), with a = 20.123 Å, b = 4.583 Å, c = 9.281 Å, α = 90.00°, β = 103.87° and γ = 90.00°. Symmetry generates all atoms from Ac at (0.000, 0.000, 0.000), Ac at (0.167, 0.500, 0.333), Pm at (0.000, 0.000, 0.500), Nd at (0.167, 0.500, 0.833), Te at (0.003, 0.500, 0.740), Te at (0.163, 0.000, 0.591) and Te at (0.170, 0.000, 0.075).

---

Al2SiNi: relaxed, PBE-GGA.

The mass density comes out at 4.114 g cm⁻³. Its calculated volume is 227.2 Å³ per cell. As for the uncorrected formation energy: -209 meV/atom. The energy above the most stable polymorph in this dataset is 41 kJ/mol of formula units.

It has space group Pnma (No. 62), with a = 5.202 Å, b = 7.630 Å, c = 5.725 Å, α = 90.00°, β = 90.00° and γ = 90.00°. Symmetry generates all atoms from Al at (0.235, 0.064, 0.054), Si at (0.190, 0.250, 0.419) and Ni at (0.044, 0.750, 0.234).

---

> The lowest mass density belongs to which entry?

Al2SiNi